Model i:
# KBa2Co

KBa2Co after structural relaxation (PBE, the Alexandria database).

Unit cell a=3.945 b=3.946 c=11.433 alpha=90.00 beta=90.26 gamma=90.00
Fractional positions:
K 0.000 0.000 0.000
Ba 0.497 0.500 0.341
Ba 0.503 0.500 0.659
Co 0.000 0.000 0.500

## Properties
The value obtained for the mass density is 3.5 Mg/m³. Its space group is P2/m, No. 10.

Model ii:
# KBa2Co

KBa2Co after structural relaxation (PBE, the Alexandria database).

Unit cell a=7.465 b=7.465 c=7.578 alpha=120.03 beta=120.03 gamma=32.55
Fractional positions:
K 0.000 0.000 0.000
Ba 0.659 0.659 0.677
Ba 0.823 0.823 0.300
Co 0.293 0.293 0.994

## Properties
The value obtained for the mass density is 3.2 Mg/m³. Its space group is Cm, No. 8.

Model iii:
# KBa2Co

KBa2Co after structural relaxation (PBE, the Alexandria database).

Unit cell a=11.922 b=11.922 c=11.922 alpha=160.44 beta=160.03 gamma=28.10
Fractional positions:
K 0.000 0.000 0.000
Ba 0.321 0.821 0.500
Ba 0.665 0.665 0.000
Co 0.759 0.259 0.500

## Properties
The value obtained for the mass density is 3.2 Mg/m³. Its space group is Imm2, No. 44.

Relative energy table, unit meV/atom: model i 0; model ii 138; model iii 76